Record 1
The following is a DFT calculation (PBE) of a relaxed structure of AcThNpO6.

The calculation puts the energy at -9.315 eV per atom.

It has space group P-31c (No. 163), with a = 6.0729 Å, b = 6.0729 Å, c = 9.9882 Å, α = 90.00°, β = 90.00° and γ = 120.00°. Symmetry generates all atoms from Ac at (0.0000, 0.0000, 0.0000), Th at (0.3333, 0.6667, 0.2500), Np at (0.3333, 0.6667, 0.7500) and O at (0.0208, 0.3671, 0.6401).

Record 2
The following is a DFT calculation (PBE) of a relaxed structure of Ac2NpTiO8.

The calculation puts the energy at -8.131 eV per atom.

It has space group P-3m1 (No. 164), with a = 5.8339 Å, b = 5.8339 Å, c = 5.9904 Å, α = 90.00°, β = 90.00° and γ = 120.00°. Symmetry generates all atoms from Ac at (0.3333, 0.6667, 0.3755), Np at (0.0000, 0.0000, 0.0000), Ti at (0.0000, 0.0000, 0.5000), O at (0.1493, 0.2987, 0.7057) and O at (0.3333, 0.6667, 0.0290).

Record 3
The following is a DFT calculation (PBE) of a relaxed structure of AcNpTiO6.

The calculation puts the energy at -9.220 eV per atom.

It has space group P312 (No. 149), with a = 5.5022 Å, b = 5.5022 Å, c = 5.2996 Å, α = 90.00°, β = 90.00° and γ = 120.00°. Symmetry generates all atoms from Ac at (0.0000, 0.0000, 0.0000), Np at (0.6667, 0.3333, 0.5000), Ti at (0.3333, 0.6667, 0.5000) and O at (0.0181, 0.3783, 0.7087).

Record 4
The following is a DFT calculation (PBE) of a relaxed structure of AcNp2TiO8.

The calculation puts the energy at -9.476 eV per atom.

It has space group P2/m (No. 10), with a = 5.0628 Å, b = 7.0044 Å, c = 5.0635 Å, α = 90.00°, β = 92.35° and γ = 90.00°. Symmetry generates all atoms from Ac at (0.0000, 0.0000, 0.0000), Np at (0.5000, 0.2651, 0.5000), Ti at (0.0000, 0.5000, 0.0000), O at (0.1954, 0.2953, 0.1940), O at (0.2929, 0.5000, 0.7059) and O at (0.3302, 0.0000, 0.6677).

Record 5
The following is a DFT calculation (PBE) of a relaxed structure of Ac2NpTi3O12.

The calculation puts the energy at -8.644 eV per atom.

It has space group R-3m (No. 166, hexagonal axes), with a = 7.0906 Å, b = 7.0906 Å, c = 16.1526 Å, α = 90.00°, β = 90.00° and γ = 120.00°. Symmetry generates all atoms from Ac at (0.0000, 0.0000, 0.1153), Np at (0.0000, 0.0000, 0.5000), Ti at (0.0000, 0.5000, 0.0000), O at (0.0258, 0.5129, 0.8755) and O at (0.0701, 0.5350, 0.3097).

Record 6
The following is a DFT calculation (PBE) of a relaxed structure of Ac2NpTl2O6.

The calculation puts the energy at -7.472 eV per atom.

It has space group C2/m (No. 12), with a = 6.5879 Å, b = 11.2971 Å, c = 7.2994 Å, α = 90.00°, β = 108.87° and γ = 90.00°. Symmetry generates all atoms from Ac at (0.0000, 0.1657, 0.0000), Np at (0.0000, 0.5000, 0.0000), Tl at (0.0000, 0.2427, 0.5000), O at (0.0960, 0.3494, 0.8510) and O at (0.1646, 0.0000, 0.8585).

Record 7
The following is a DFT calculation (PBE) of a relaxed structure of AcNp3Tl2O12.

The calculation puts the energy at -8.474 eV per atom.

It has space group R-3m (No. 166, hexagonal axes), with a = 8.2044 Å, b = 8.2044 Å, c = 16.6138 Å, α = 90.00°, β = 90.00° and γ = 120.00°. Symmetry generates all atoms from Ac at (0.0000, 0.0000, 0.0000), Np at (0.0000, 0.5000, 0.5000), Tl at (0.0000, 0.0000, 0.3832), O at (0.0397, 0.5199, 0.3870) and O at (0.1018, 0.5509, 0.8066).

Record 8
The following is a DFT calculation (PBE) of a relaxed structure of AcNp2TlO8.

The calculation puts the energy at -8.061 eV per atom.

It has space group P-3 (No. 147), with a = 6.0954 Å, b = 6.0954 Å, c = 6.1642 Å, α = 90.00°, β = 90.00° and γ = 120.00°. Symmetry generates all atoms from Ac at (0.0000, 0.0000, 0.0000), Np at (0.3333, 0.6667, 0.4337), Tl at (0.0000, 0.0000, 0.5000), O at (0.0547, 0.3830, 0.6603) and O at (0.3333, 0.6667, 0.1247).

Record 9
The following is a DFT calculation (PBE) of a relaxed structure of AcNpTl2O6.

The calculation puts the energy at -7.411 eV per atom.

It has space group P2_1/c (No. 14), with a = 6.4035 Å, b = 6.3494 Å, c = 10.9803 Å, α = 90.00°, β = 125.16° and γ = 90.00°. Symmetry generates all atoms from Ac at (0.0000, 0.0000, 0.0000), Np at (0.5000, 0.0000, 0.5000), Tl at (0.2587, 0.9997, 0.7522), O at (0.2274, 0.0009, 0.2767), O at (0.2931, 0.2137, 0.5284) and O at (0.3162, 0.7397, 0.0263).

Record 10
The following is a DFT calculation (PBE) of a relaxed structure of AcNpTl2O8.

The calculation puts the energy at -7.019 eV per atom.

It has space group P-1 (No. 2), with a = 5.3363 Å, b = 5.3525 Å, c = 7.2399 Å, α = 93.74°, β = 93.65° and γ = 91.25°. Symmetry generates all atoms from Ac at (0.0000, 0.0000, 0.0000), Np at (0.0000, 0.0000, 0.5000), Tl at (0.4871, 0.4873, 0.7468), O at (0.1666, 0.8239, 0.2973), O at (0.1755, 0.8327, 0.7022), O at (0.2957, 0.2946, 0.5167) and O at (0.3200, 0.3186, 0.0286).

Record 11
The following is a DFT calculation (PBE) of a relaxed structure of AcNpTlO6.

The calculation puts the energy at -7.836 eV per atom.

It has space group P-31c (No. 163), with a = 5.7015 Å, b = 5.7015 Å, c = 10.8682 Å, α = 90.00°, β = 90.00° and γ = 120.00°. Symmetry generates all atoms from Ac at (0.0000, 0.0000, 0.0000), Np at (0.3333, 0.6667, 0.2500), Tl at (0.3333, 0.6667, 0.7500) and O at (0.0287, 0.3696, 0.1399).

Record 12
The following is a DFT calculation (PBE) of a relaxed structure of Ac2TmNpO6.

The calculation puts the energy at -8.745 eV per atom.

It has space group P2_1/c (No. 14), with a = 6.0730 Å, b = 6.2459 Å, c = 10.6028 Å, α = 90.00°, β = 124.93° and γ = 90.00°. Symmetry generates all atoms from Ac at (0.2367, 0.0498, 0.2501), Tm at (0.0000, 0.0000, 0.5000), Np at (0.5000, 0.0000, 0.0000), O at (0.1275, 0.2029, 0.9365), O at (0.2358, 0.6929, 0.9379) and O at (0.3628, 0.0504, 0.7443).

Record 13
The following is a DFT calculation (PBE) of a relaxed structure of AcTmNpO6.

The calculation puts the energy at -8.970 eV per atom.

It has space group P-31c (No. 163), with a = 5.7682 Å, b = 5.7682 Å, c = 10.4017 Å, α = 90.00°, β = 90.00° and γ = 120.00°. Symmetry generates all atoms from Ac at (0.0000, 0.0000, 0.0000), Tm at (0.3333, 0.6667, 0.2500), Np at (0.3333, 0.6667, 0.7500) and O at (0.0201, 0.3719, 0.6424).

Record 14
The following is a DFT calculation (PBE) of a relaxed structure of AcNpUO6.

The calculation puts the energy at -9.522 eV per atom.

It has space group P-31c (No. 163), with a = 6.0647 Å, b = 6.0647 Å, c = 9.1754 Å, α = 90.00°, β = 90.00° and γ = 120.00°. Symmetry generates all atoms from Ac at (0.3333, 0.6667, 0.2500), Np at (0.0000, 0.0000, 0.0000), U at (0.3333, 0.6667, 0.7500) and O at (0.0462, 0.3482, 0.6256).